No. 1
Density functional theory data (PBE) for an optimized crystal structure of KBa.

The uncorrected energy comes out at -1.4647 eV per atom. As for the volume: 67.5 Å³/atom. As for the formation energy from the elements: 0.1 eV/f.u. The calculated density is 2.2 g/cm³.

Unit cell a=4.391 b=4.391 c=15.154 alpha=90.00 beta=90.00 gamma=112.54
Sites, in units of the cell vectors:
K 0.000 0.000 0.505
K 0.500 0.500 0.245
Ba 0.000 0.000 0.992
Ba 0.500 0.500 0.758

=====

No. 2
Density functional theory data (PBE) for an optimized crystal structure of BPdIN2.

The uncorrected energy comes out at -4.4846 eV per atom. As for the volume: 19.1 Å³/atom. The energy above the most stable polymorph in this dataset comes out at 0 meV per atom. The calculated density is 4.7 g/cm³.

Unit cell a=3.473 b=3.473 c=7.920 alpha=90.00 beta=90.00 gamma=90.00
Sites, in units of the cell vectors:
I 0.000 0.000 0.500
B 0.000 0.000 0.000
Pd 0.500 0.500 0.500
N 0.000 0.500 0.000
N 0.500 0.000 0.000